1.
# Ac5Cd2Sn5

A geometry-optimized Ac5Cd2Sn5 structure (PBE-GGA, Alexandria via LeMat-Bulk).

Geometry as POSCAR:
```
Ac5Cd2Sn5
1.0
8.631 -2.460 0.000
8.631 2.460 0.000
-7.740 0.000 9.409
Ac Cd Sn
5 2 5
Direct
0.000 0.000 0.000 Ac
0.102 0.102 0.415 Ac
0.192 0.192 0.825 Ac
0.808 0.808 0.175 Ac
0.898 0.898 0.585 Ac
0.358 0.358 0.757 Cd
0.642 0.642 0.243 Cd
0.261 0.261 0.329 Sn
0.433 0.433 0.137 Sn
0.500 0.500 0.500 Sn
0.567 0.567 0.863 Sn
0.739 0.739 0.671 Sn
```

Computed properties:
SG: C2/m
E_tot: -4.1294 eV/atom
Formation enthalpy at 0 K: -0.60 eV/atom
Total magnetization: 0.00 μB/cell

2.
# TbEr3Ir3

A geometry-optimized TbEr3Ir3 structure (PBE-GGA, Alexandria via LeMat-Bulk).

Geometry as POSCAR:
```
TbEr3Ir3
1.0
4.880 -4.954 0.000
4.880 4.954 0.000
0.000 0.000 6.556
Tb Er Ir
2 6 6
Direct
0.247 0.247 0.000 Tb
0.753 0.753 0.000 Tb
0.255 0.255 0.500 Er
0.256 0.744 0.500 Er
0.261 0.739 0.000 Er
0.739 0.261 0.000 Er
0.744 0.256 0.500 Er
0.745 0.745 0.500 Er
0.000 0.500 0.252 Ir
0.000 0.500 0.748 Ir
0.500 0.000 0.252 Ir
0.500 0.000 0.748 Ir
0.500 0.500 0.251 Ir
0.500 0.500 0.749 Ir
```

Computed properties:
SG: Cmmm
E_tot: -7.1610 eV/atom
Formation enthalpy at 0 K: -0.75 eV/atom
Offset from the most stable computed form: 0.017 eV per atom
Total magnetization: 0.00 μB/cell

3.
# Tm3InRu2

A geometry-optimized Tm3InRu2 structure (PBE-GGA, Alexandria via LeMat-Bulk).

Geometry as POSCAR:
```
Tm3InRu2
1.0
3.423 0.000 0.000
0.000 3.423 0.000
0.000 0.000 10.855
Tm In Ru
3 1 2
Direct
0.000 0.000 0.000 Tm
0.000 0.000 0.299 Tm
0.000 0.000 0.701 Tm
0.500 0.500 0.500 In
0.500 0.500 0.158 Ru
0.500 0.500 0.842 Ru
```

Computed properties:
SG: P4/mmm
E_tot: -6.2847 eV/atom
Formation enthalpy at 0 K: -0.50 eV/atom
Total magnetization: 0.00 μB/cell

4.
# TiCI2

A geometry-optimized TiCI2 structure (PBE-GGA, Alexandria via LeMat-Bulk).

Geometry as POSCAR:
```
TiCI2
1.0
0.000 3.447 3.447
3.447 0.000 3.447
3.447 3.447 0.000
Ti C I
1 1 2
Direct
0.000 0.000 0.000 Ti
0.500 0.500 0.500 C
0.250 0.250 0.250 I
0.750 0.750 0.750 I
```

Computed properties:
SG: Fm-3m
E_tot: -3.6269 eV/atom
Formation energy from raw total energies: 1.4279 eV per atom
Offset from the most stable computed form: 0.000 eV per atom
Total magnetization: 0.25 μB/cell

5.
# CsMgPtSe2

A geometry-optimized CsMgPtSe2 structure (PBE-GGA, Alexandria via LeMat-Bulk).

Geometry as POSCAR:
```
CsMgPtSe2
1.0
5.107 0.000 0.000
0.000 5.107 0.000
0.000 0.000 6.050
Cs Mg Pt Se
1 1 1 2
Direct
0.000 0.000 0.000 Cs
0.500 0.500 0.000 Mg
0.000 0.000 0.500 Pt
0.000 0.500 0.500 Se
0.500 0.000 0.500 Se
```

Computed properties:
SG: P4/mmm
E_tot: -2.9603 eV/atom
Formation energy from raw total energies: 0.1313 eV per atom
Total magnetization: 0.00 μB/cell

6.
# HoLu2Zr

A geometry-optimized HoLu2Zr structure (PBE-GGA, Alexandria via LeMat-Bulk).

Geometry as POSCAR:
```
HoLu2Zr
1.0
4.795 0.000 0.000
0.000 4.795 0.000
0.000 0.000 4.798
Ho Lu Zr
1 2 1
Direct
0.000 0.000 0.000 Ho
0.000 0.500 0.500 Lu
0.500 0.000 0.500 Lu
0.500 0.500 0.000 Zr
```

Computed properties:
SG: P4/mmm
E_tot: -5.4672 eV/atom
Formation enthalpy at 0 K: 0.07 eV/atom
Offset from the most stable computed form: 0.008 eV per atom
Total magnetization: 0.00 μB/cell

> Look up the total magnetization of the second one.

0.00 μB/cell